[1]
Pr8Dy4Ho3 (PBE-GGA, optimized geometry); calculated formation energy = 0.157 eV/atom; electronic total energy = -68.0 eV/cell; SG = No. 166; total moment = 0.0000 μB per atom; ΔE to the lowest computed polymorph = 0 meV/atom
1.0
6.2128 0.0000 3.3507
2.2029 5.8092 3.3507
-2.6070 -1.7996 12.2691
Pr Dy Ho
8 4 3
Direct
0.2457 0.2457 0.2630
0.2482 0.7504 0.2510
0.7504 0.7504 0.2510
0.7504 0.2482 0.2510
0.7543 0.7543 0.7370
0.7518 0.2496 0.7490
0.2496 0.2496 0.7490
0.2496 0.7518 0.7490
0.0000 0.0000 0.0000
0.3355 0.3355 0.9935
0.5000 0.5000 0.5000
0.6645 0.6645 0.0065
0.5000 0.0000 0.5000
0.0000 0.0000 0.5000
0.0000 0.5000 0.5000

[2]
Pr12DyHo7 (PBE-GGA, optimized geometry); calculated formation energy = 0.224 eV/atom; electronic total energy = -89.5 eV/cell; SG = No. 166; total moment = 0.0000 μB per atom; ΔE to the lowest computed polymorph = 6 meV/atom
1.0
-0.1883 -0.9483 -6.2015
10.0180 5.7180 0.9388
-0.1449 -10.9328 3.7936
Pr Dy Ho
12 1 7
Direct
0.0886 0.5883 0.1763
0.0877 0.1763 0.5880
0.5819 0.6474 0.0001
0.4182 0.0001 0.3527
0.4997 0.4120 0.5883
0.0655 0.6473 0.6474
0.9345 0.3527 0.3526
0.5003 0.5880 0.4117
0.5818 0.9999 0.6473
0.4181 0.3526 0.9999
0.9123 0.8237 0.4120
0.9114 0.4117 0.8237
0.0000 0.0000 0.0000
0.1235 0.7558 0.9999
0.8763 0.9999 0.2440
0.6323 0.7560 0.7558
0.5000 0.0000 0.0000
0.3677 0.2440 0.2442
0.1237 0.0001 0.7560
0.8765 0.2442 0.0001

[3]
Pr7Dy2Ho (PBE-GGA, optimized geometry); calculated formation energy = 0.180 eV/atom; electronic total energy = -45.4 eV/cell; SG = No. 65; total moment = 0.0000 μB per atom; ΔE to the lowest computed polymorph = 0 meV/atom
1.0
3.4741 0.0000 0.0000
0.0000 12.0591 -9.4907
0.0000 -6.8638 13.7252
Pr Dy Ho
7 2 1
Direct
0.0000 0.6909 0.3091
0.0000 0.3091 0.6909
0.5000 0.1417 0.3415
0.5000 0.8583 0.6585
0.5000 0.3415 0.1417
0.5000 0.6585 0.8583
0.5000 0.5000 0.5000
0.5000 0.7934 0.2067
0.5000 0.2066 0.7933
0.0000 0.0000 0.0000

[4]
PrDyHo (PBE-GGA, optimized geometry); calculated formation energy = 0.017 eV/atom; electronic total energy = -27.8 eV/cell; SG = No. 2; total moment = 0.0000 μB per atom; ΔE to the lowest computed polymorph = 0 meV/atom
1.0
6.1468 -0.8632 0.2235
-0.6176 2.4377 -2.5834
0.0664 2.9844 10.3493
Pr Dy Ho
2 2 2
Direct
0.9381 0.9258 0.0169
0.4370 0.9259 0.5164
0.9396 0.9248 0.6822
0.4356 0.9268 0.8512
0.4402 0.9272 0.1832
0.9349 0.9244 0.3501

[5]
Pr3Dy3Ho5 (PBE-GGA, optimized geometry); calculated formation energy = 0.804 eV/atom; electronic total energy = -42.2 eV/cell; SG = No. 189; total moment = 0.0000 μB per atom
1.0
-2.4624 -3.0804 3.7550
-4.5610 -4.8683 -6.9847
8.6096 -3.0249 3.1644
Pr Dy Ho
3 3 5
Direct
0.5000 0.6355 0.6355
0.5000 0.0000 0.3645
0.5000 0.3645 0.0000
0.0000 0.4602 0.4602
0.0000 0.5398 0.0000
0.0000 0.0000 0.5398
0.5000 0.3333 0.6667
0.5000 0.6667 0.3333
0.5000 0.2681 0.2681
0.5000 0.0000 0.7319
0.5000 0.7319 0.0000

[6]
Pr4Dy4Ho3 (PBE-GGA, optimized geometry); calculated formation energy = 0.064 eV/atom; electronic total energy = -50.6 eV/cell; SG = No. 71; total moment = 0.0000 μB per atom; ΔE to the lowest computed polymorph = 0 meV/atom
1.0
3.5430 0.0002 0.0022
0.0005 5.7006 0.0044
1.7620 2.8363 17.9077
Pr Dy Ho
4 4 3
Direct
0.5904 0.0906 0.8191
0.2689 0.2687 0.4624
0.7311 0.7314 0.5376
0.4097 0.9094 0.1809
0.5454 0.5454 0.9096
0.4546 0.4546 0.0904
0.3196 0.8194 0.3612
0.6804 0.1807 0.6388
0.1354 0.6356 0.7293
0.8647 0.3644 0.2707
0.0000 0.0000 0.0000

Copy entry 2 word for word.
Pr12DyHo7 (PBE-GGA, optimized geometry); calculated formation energy = 0.224 eV/atom; electronic total energy = -89.5 eV/cell; SG = No. 166; total moment = 0.0000 μB per atom; ΔE to the lowest computed polymorph = 6 meV/atom
1.0
-0.1883 -0.9483 -6.2015
10.0180 5.7180 0.9388
-0.1449 -10.9328 3.7936
Pr Dy Ho
12 1 7
Direct
0.0886 0.5883 0.1763
0.0877 0.1763 0.5880
0.5819 0.6474 0.0001
0.4182 0.0001 0.3527
0.4997 0.4120 0.5883
0.0655 0.6473 0.6474
0.9345 0.3527 0.3526
0.5003 0.5880 0.4117
0.5818 0.9999 0.6473
0.4181 0.3526 0.9999
0.9123 0.8237 0.4120
0.9114 0.4117 0.8237
0.0000 0.0000 0.0000
0.1235 0.7558 0.9999
0.8763 0.9999 0.2440
0.6323 0.7560 0.7558
0.5000 0.0000 0.0000
0.3677 0.2440 0.2442
0.1237 0.0001 0.7560
0.8765 0.2442 0.0001

Repeat the first record exactly.
Pr8Dy4Ho3 (PBE-GGA, optimized geometry); calculated formation energy = 0.157 eV/atom; electronic total energy = -68.0 eV/cell; SG = No. 166; total moment = 0.0000 μB per atom; ΔE to the lowest computed polymorph = 0 meV/atom
1.0
6.2128 0.0000 3.3507
2.2029 5.8092 3.3507
-2.6070 -1.7996 12.2691
Pr Dy Ho
8 4 3
Direct
0.2457 0.2457 0.2630
0.2482 0.7504 0.2510
0.7504 0.7504 0.2510
0.7504 0.2482 0.2510
0.7543 0.7543 0.7370
0.7518 0.2496 0.7490
0.2496 0.2496 0.7490
0.2496 0.7518 0.7490
0.0000 0.0000 0.0000
0.3355 0.3355 0.9935
0.5000 0.5000 0.5000
0.6645 0.6645 0.0065
0.5000 0.0000 0.5000
0.0000 0.0000 0.5000
0.0000 0.5000 0.5000